The following is a PBE calculation of a geometry-optimized PrDyY14 structure, from Alexandria.

Properties
crystal system	tetragonal
space group	P4/mmm
E_form	0.021	eV per atom

Unit cell a=7.1619 b=7.1619 c=10.0972 alpha=90.00 beta=90.00 gamma=90.00
With the nearest neighbours (Å) after each atom.
Fractional positions:
Y: 0.6242 0.8742 0.2505  10 Y 3.57-3.59, 1 Dy 3.57, 1 Pr 3.59
Y: 0.1260 0.8740 0.7495  10 Y 3.56-3.59, 1 Dy 3.57, 1 Pr 3.59
Y: 0.8749 0.6250 0.5000  12 Y 3.57-3.58
Y: 0.1258 0.3758 0.7495  10 Y 3.57-3.59, 1 Dy 3.57, 1 Pr 3.59
Y: 0.6240 0.3760 0.7496  10 Y 3.57-3.59, 1 Dy 3.57, 1 Pr 3.59
Y: 0.8750 0.1250 0.5000  12 Y 3.58
Y: 0.3750 0.1250 0.0000  8 Y 3.58, 2 Pr 3.58, 2 Dy 3.58
Y: 0.8750 0.6250 0.0000  8 Y 3.58, 2 Pr 3.58, 2 Dy 3.58
Y: 0.1258 0.3758 0.2505  10 Y 3.57-3.59, 1 Dy 3.57, 1 Pr 3.59
Y: 0.3749 0.6251 0.5000  12 Y 3.56-3.58
Y: 0.6242 0.8742 0.7495  10 Y 3.57-3.59, 1 Dy 3.57, 1 Pr 3.59
Y: 0.1260 0.8740 0.2505  10 Y 3.56-3.59, 1 Dy 3.57, 1 Pr 3.59
Y: 0.3750 0.1251 0.5000  12 Y 3.57-3.58
Y: 0.6240 0.3760 0.2504  10 Y 3.57-3.59, 1 Dy 3.57, 1 Pr 3.59
Dy: 0.3750 0.6250 0.0000  12 Y 3.57-3.58
Pr: 0.8751 0.1249 0.0000  12 Y 3.58-3.59

---

The following is a PBE calculation of a geometry-optimized Pr3Dy4Y structure, from Alexandria.

Properties
crystal system	orthorhombic
space group	Pmna
distance to the lowest polymorph of the same formula	0	meV per atom
E_form	0.018	eV per atom

Unit cell a=7.2188 b=7.2134 c=10.2239 alpha=90.00 beta=90.00 gamma=90.00
With the nearest neighbours (Å) after each atom.
Fractional positions:
Pr: 0.7485 0.5606 0.7501  8 Dy 3.60-3.62, 2 Y 3.61, 2 Pr 3.62
Pr: 0.2515 0.0606 0.7499  8 Dy 3.60-3.62, 2 Y 3.61, 2 Pr 3.62
Pr: 0.7485 0.5606 0.2499  8 Dy 3.60-3.62, 2 Y 3.61, 2 Pr 3.62
Pr: 0.2515 0.0606 0.2501  8 Dy 3.60-3.62, 2 Y 3.61, 2 Pr 3.62
Pr: 0.0004 0.3107 0.0000  8 Dy 3.61, 4 Pr 3.62
Pr: 0.9996 0.8107 0.5000  8 Dy 3.61, 4 Pr 3.62
Dy: 0.9999 0.3107 0.5000  6 Pr 3.61-3.62, 2 Y 3.61, 4 Dy 3.61
Dy: 0.4999 0.8105 0.5000  6 Pr 3.61, 2 Y 3.61, 4 Dy 3.61
Dy: 0.5001 0.3105 0.0000  6 Pr 3.61, 2 Y 3.61, 4 Dy 3.61
Dy: 0.7497 0.0606 0.7501  6 Pr 3.60-3.62, 4 Dy 3.61, 2 Y 3.61
Dy: 0.0001 0.8107 0.0000  6 Pr 3.61-3.62, 2 Y 3.61, 4 Dy 3.61
Dy: 0.7497 0.0606 0.2499  6 Pr 3.60-3.62, 4 Dy 3.61, 2 Y 3.61
Dy: 0.2503 0.5606 0.2501  6 Pr 3.60-3.62, 4 Dy 3.61, 2 Y 3.61
Dy: 0.2503 0.5606 0.7499  6 Pr 3.60-3.62, 4 Dy 3.61, 2 Y 3.61
Y: 0.5000 0.3105 0.5000  4 Pr 3.61, 8 Dy 3.61
Y: 0.5000 0.8105 0.0000  4 Pr 3.61, 8 Dy 3.61

---

The following is a PBE calculation of a geometry-optimized Pr3Dy2Y6 structure, from Alexandria.

Properties
crystal system	trigonal
space group	R-3m
distance to the lowest polymorph of the same formula	0	meV per atom
E_form	0.017	eV per atom

Unit cell a=3.6136 b=3.6136 c=32.2115 alpha=86.78 beta=86.78 gamma=60.00
With the nearest neighbours (Å) after each atom.
Fractional positions:
Pr: 0.0000 0.0000 0.0000  6 Pr 3.61, 6 Y 3.62
Pr: 0.2721 0.2721 0.1838  6 Pr 3.61, 6 Y 3.62-3.63
Pr: 0.7279 0.7279 0.8162  6 Pr 3.61, 6 Y 3.62-3.63
Y: 0.9080 0.9080 0.2761  3 Dy 3.55, 6 Y 3.61, 3 Pr 3.63
Y: 0.0920 0.0920 0.7239  3 Dy 3.55, 6 Y 3.61, 3 Pr 3.63
Y: 0.3640 0.3640 0.9081  6 Y 3.61, 6 Pr 3.62
Y: 0.6360 0.6360 0.0919  6 Y 3.61, 6 Pr 3.62
Y: 0.1817 0.1817 0.4549  3 Dy 3.55, 9 Y 3.57-3.61
Y: 0.8183 0.8183 0.5451  3 Dy 3.55, 9 Y 3.57-3.61
Dy: 0.5449 0.5449 0.3654  6 Y 3.55, 6 Dy 3.61
Dy: 0.4551 0.4551 0.6346  6 Y 3.55, 6 Dy 3.61

---

The following is a PBE calculation of a geometry-optimized Pr2Dy3Y3 structure, from Alexandria.

Properties
crystal system	monoclinic
space group	C2/m
distance to the lowest polymorph of the same formula	0	meV per atom
E_form	0.003	eV per atom

Unit cell a=3.6159 b=6.2594 c=12.1624 alpha=75.05 beta=81.42 gamma=89.99
With the nearest neighbours (Å) after each atom.
Fractional positions:
Y: 0.1233 0.4573 0.7533  6 Dy 3.54-3.62, 3 Y 3.54-3.62, 3 Pr 3.60-3.62
Y: 0.8767 0.5427 0.2467  6 Dy 3.54-3.62, 3 Y 3.54-3.62, 3 Pr 3.60-3.62
Y: 0.0000 0.0000 0.0000  4 Y 3.54-3.62, 8 Dy 3.55-3.61
Pr: 0.2493 0.2482 0.5013  3 Dy 3.59-3.61, 3 Y 3.60-3.62, 6 Pr 3.60-3.63
Pr: 0.7507 0.7518 0.4987  3 Dy 3.59-3.61, 3 Y 3.60-3.62, 6 Pr 3.60-3.63
Dy: 0.6233 0.9557 0.7533  3 Dy 3.54-3.62, 6 Y 3.55-3.62, 3 Pr 3.59-3.61
Dy: 0.3767 0.0443 0.2467  3 Dy 3.54-3.62, 6 Y 3.55-3.62, 3 Pr 3.59-3.61
Dy: 0.5000 0.5000 0.0000  4 Dy 3.54-3.62, 8 Y 3.54-3.61

---

The following is a PBE calculation of a geometry-optimized Pr8DyY5 structure, from Alexandria.

Properties
crystal system	tetragonal
space group	I-4
E_form	0.253	eV per atom

Unit cell a=8.6599 b=8.6599 c=8.6599 alpha=111.02 beta=106.42 gamma=111.02
With the nearest neighbours (Å) after each atom.
Fractional positions:
Y: 0.8729 0.9072 0.1843  8 Pr 3.40-3.68, 2 Y 3.55
Y: 0.5000 0.0000 0.5000  8 Pr 3.25-3.44
Y: 0.2770 0.0928 0.9657  8 Pr 3.40-3.68, 2 Y 3.55
Y: 0.0343 0.3114 0.1271  8 Pr 3.40-3.68, 2 Y 3.55
Y: 0.8157 0.6886 0.7230  8 Pr 3.40-3.68, 2 Y 3.55
Pr: 0.0761 0.7368 0.4729  5 Y 3.44-3.68, 4 Pr 3.58-3.85
Pr: 0.7361 0.2632 0.3393  5 Y 3.44-3.68, 4 Pr 3.58-3.85
Pr: 0.6607 0.3969 0.9239  5 Y 3.44-3.68, 4 Pr 3.58-3.85
Pr: 0.5677 0.9120 0.8399  5 Y 3.25-3.62, 1 Dy 3.27
Pr: 0.5271 0.6031 0.2639  5 Y 3.44-3.68, 4 Pr 3.58-3.85
Pr: 0.1601 0.7278 0.0721  5 Y 3.25-3.62, 1 Dy 3.27
Pr: 0.9279 0.0880 0.6557  5 Y 3.25-3.62, 1 Dy 3.27
Pr: 0.3443 0.2722 0.4323  5 Y 3.25-3.62, 1 Dy 3.27
Dy: 0.2500 0.5000 0.7500  4 Pr 3.27

---

The following is a PBE calculation of a geometry-optimized Pr3Dy7Y structure, from Alexandria.

Properties
crystal system	orthorhombic
space group	Immm
distance to the lowest polymorph of the same formula	121	meV per atom
E_form	0.264	eV per atom

Unit cell a=5.8812 b=8.4835 c=8.4835 alpha=83.25 beta=110.25 gamma=110.25
With the nearest neighbours (Å) after each atom.
Fractional positions:
Y: 0.5000 0.5000 0.5000  2 Dy 2.94
Dy: 0.7073 0.4035 0.0114  2 Pr 3.21-3.44, 3 Dy 3.32-3.56
Dy: 0.7073 0.0114 0.4035  2 Pr 3.21-3.44, 3 Dy 3.32-3.56
Dy: 0.2927 0.9886 0.5965  2 Pr 3.21-3.44, 3 Dy 3.32-3.56
Dy: 0.0000 0.5000 0.5000  2 Y 2.94, 2 Pr 3.23
Dy: 0.7950 0.7945 0.7945  1 Y 3.31, 2 Pr 3.34, 6 Dy 3.56-3.68
Dy: 0.2927 0.5965 0.9886  2 Pr 3.21-3.44, 3 Dy 3.32-3.56
Dy: 0.2050 0.2055 0.2055  1 Y 3.31, 2 Pr 3.34, 6 Dy 3.56-3.68
Pr: 0.0000 0.2138 0.7862  5 Dy 3.23-3.44
Pr: 0.0000 0.7862 0.2138  5 Dy 3.23-3.44
Pr: 0.5000 0.0000 0.0000  4 Dy 3.21